Below is an optimized crystal structure of CdPtRh2, with properties calculated at the PBE-GGA level. Values from VASP.

Properties
**Crystal system**: trigonal
**Space-group type**: R3m (160)
**Formation enthalpy at 0 K**: 0.005 eV per atom
**Volume**: 63 Å³ per cell
**Total DFT energy (no corrections)**: -5.41 eV/atom

The structure in Quantum ESPRESSO input format:
```
&SYSTEM
  ibrav = 0, nat = 4, ntyp = 3
/
ATOMIC_SPECIES
Cd 112.41 Cd.upf
Rh 102.91 Rh.upf
Pt 195.08 Pt.upf
CELL_PARAMETERS angstrom
9.222 -1.409 0.001
9.222 1.409 0.001
9.007 0.000 2.433
ATOMIC_POSITIONS angstrom
Cd 13.682 0.000 1.214
Rh 0.064 0.000 0.006
Rh 20.471 0.000 1.816
Pt 6.960 0.000 0.617
```